# 1
DFT (meta-GGA SCAN) results for a crystal of LiTiPt2 relaxed with PBEsol.

As for the formation energy: -1.000 eV per atom. Its symmetry is Fm-3m, No. 225.

Cell lengths 4.300, 4.300, 4.300 Å; angles 60.00, 60.00, 60.00 degrees
Fractional positions:
1 Li 0.000 0.000 0.000
2 Ti 0.500 0.500 0.500
3 Pt 0.250 0.250 0.250
4 Pt 0.750 0.750 0.750

=====

# 2
DFT (meta-GGA SCAN) results for a crystal of SrGe7N10 relaxed with PBEsol.

Its symmetry is Pc, No. 7. For the uncorrected formation energy, the calculation gives -0.26 eV per atom.

Cell lengths 7.204, 7.125, 10.167 Å; angles 90.00, 105.65, 90.00 degrees
Fractional positions:
1 Sr 0.000 0.023 0.000
2 Sr 0.000 0.977 0.500
3 Ge 0.063 0.373 0.323
4 Ge 0.063 0.627 0.823
5 Ge 0.248 0.365 0.643
6 Ge 0.248 0.635 0.143
7 Ge 0.371 0.029 0.310
8 Ge 0.371 0.971 0.810
9 Ge 0.428 0.369 0.947
10 Ge 0.428 0.631 0.447
11 Ge 0.567 0.028 0.620
12 Ge 0.567 0.972 0.120
13 Ge 0.617 0.378 0.252
14 Ge 0.617 0.622 0.752
15 Ge 0.802 0.393 0.561
16 Ge 0.802 0.607 0.061
17 N 0.027 0.372 0.502
18 N 0.027 0.628 0.002
19 N 0.143 0.141 0.295
20 N 0.143 0.859 0.795
21 N 0.205 0.413 0.811
22 N 0.205 0.587 0.311
23 N 0.343 0.127 0.657
24 N 0.343 0.873 0.157
25 N 0.415 0.460 0.112
26 N 0.415 0.540 0.612
27 N 0.457 0.116 0.965
28 N 0.457 0.884 0.465
29 N 0.600 0.125 0.276
30 N 0.600 0.875 0.776
31 N 0.629 0.499 0.911
32 N 0.629 0.501 0.411
33 N 0.775 0.155 0.611
34 N 0.775 0.845 0.111
35 N 0.833 0.416 0.192
36 N 0.833 0.584 0.692

=====

# 3
DFT (meta-GGA SCAN) results for a crystal of AlAsRh4 relaxed with PBEsol.

As for the formation energy: 0.116 eV per atom. Its symmetry is F-43m, No. 216.

Cell lengths 5.059, 5.059, 5.059 Å; angles 60.00, 60.00, 60.00 degrees
Fractional positions:
1 Al 0.000 0.000 0.000
2 As 0.750 0.750 0.750
3 Rh 0.375 0.375 0.375
4 Rh 0.375 0.375 0.875
5 Rh 0.375 0.875 0.375
6 Rh 0.875 0.375 0.375

=====

# 4
DFT (meta-GGA SCAN) results for a crystal of BeCrIn2 relaxed with PBEsol.

As for the formation energy: 0.344 eV per atom. Its symmetry is Imm2, No. 44.

Cell lengths 5.352, 5.352, 5.352 Å; angles 144.80, 133.09, 59.98 degrees
Fractional positions:
1 Be 0.000 0.000 0.000
2 Cr 0.185 0.685 0.500
3 In 0.447 0.447 0.000
4 In 0.724 0.224 0.500

=====

# 5
DFT (meta-GGA SCAN) results for a crystal of K2NaInCl6 relaxed with PBEsol.

Its symmetry is Fm-3m, No. 225. For the uncorrected formation energy, the calculation gives -1.80 eV per atom.

Cell lengths 7.300, 7.300, 7.300 Å; angles 60.00, 60.00, 60.00 degrees
Fractional positions:
1 K 0.250 0.250 0.250
2 K 0.750 0.750 0.750
3 Na 0.000 0.000 0.000
4 In 0.500 0.500 0.500
5 Cl 0.258 0.258 0.742
6 Cl 0.258 0.742 0.258
7 Cl 0.258 0.742 0.742
8 Cl 0.742 0.258 0.258
9 Cl 0.742 0.258 0.742
10 Cl 0.742 0.742 0.258

=====

# 6
DFT (meta-GGA SCAN) results for a crystal of K4Hf5O12 relaxed with PBEsol.

Its symmetry is P-3m1, No. 164. For the uncorrected formation energy, the calculation gives -3.30 eV per atom.

Cell lengths 5.754, 5.754, 10.320 Å; angles 90.00, 90.00, 120.00 degrees
Fractional positions:
1 K 0.000 0.000 0.178
2 K 0.000 0.000 0.822
3 K 0.333 0.667 0.611
4 K 0.667 0.333 0.389
5 Hf 0.000 0.000 0.500
6 Hf 0.333 0.667 0.282
7 Hf 0.333 0.667 0.977
8 Hf 0.667 0.333 0.023
9 Hf 0.667 0.333 0.718
10 O 0.020 0.510 0.123
11 O 0.165 0.330 0.379
12 O 0.165 0.835 0.379
13 O 0.330 0.165 0.621
14 O 0.490 0.510 0.123
15 O 0.490 0.980 0.123
16 O 0.510 0.020 0.877
17 O 0.510 0.490 0.877
18 O 0.670 0.835 0.379
19 O 0.835 0.165 0.621
20 O 0.835 0.670 0.621
21 O 0.980 0.490 0.877

=====

# 7
DFT (meta-GGA SCAN) results for a crystal of KScAs2Br relaxed with PBEsol.

Its symmetry is P4/mmm, No. 123. For the uncorrected formation energy, the calculation gives 0.75 eV per atom.

Cell lengths 5.202, 5.202, 5.361 Å; angles 90.00, 90.00, 90.00 degrees
Fractional positions:
1 K 0.000 0.000 0.000
2 Sc 0.500 0.500 0.500
3 As 0.000 0.500 0.000
4 As 0.500 0.000 0.000
5 Br 0.000 0.000 0.500

=====

# 8
DFT (meta-GGA SCAN) results for a crystal of Au3Br4 relaxed with PBEsol.

Its symmetry is P6/mmm, No. 191. For the uncorrected formation energy, the calculation gives 0.43 eV per atom.

Cell lengths 5.928, 5.928, 4.992 Å; angles 90.00, 90.00, 120.00 degrees
Fractional positions:
1 Au 0.000 0.500 0.000
2 Au 0.500 0.000 0.000
3 Au 0.500 0.500 0.000
4 Br 0.000 0.000 0.254
5 Br 0.000 0.000 0.746
6 Br 0.333 0.667 0.500
7 Br 0.667 0.333 0.500

=====

# 9
DFT (meta-GGA SCAN) results for a crystal of Sc2GeP relaxed with PBEsol.

As for the formation energy: -0.718 eV per atom. Its symmetry is Fm-3m, No. 225.

Cell lengths 4.654, 4.654, 4.654 Å; angles 60.00, 60.00, 60.00 degrees
Fractional positions:
1 Sc 0.250 0.250 0.250
2 Sc 0.750 0.750 0.750
3 Ge 0.000 0.000 0.000
4 P 0.500 0.500 0.500

=====

# 10
DFT (meta-GGA SCAN) results for a crystal of Li4V2P3O12 relaxed with PBEsol.

For the energy above the most stable polymorph in this dataset, the calculation gives 0 meV per atom. Its symmetry is C2/c, No. 15. For the uncorrected formation energy, the calculation gives -2.55 eV per atom.

Cell lengths 8.399, 8.399, 8.437 Å; angles 116.37, 116.37, 64.94 degrees
Fractional positions:
1 Li 0.053 0.678 0.675
2 Li 0.284 0.332 0.883
3 Li 0.322 0.947 0.825
4 Li 0.332 0.284 0.383
5 Li 0.668 0.716 0.617
6 Li 0.678 0.053 0.175
7 Li 0.716 0.668 0.117
8 Li 0.947 0.322 0.325
9 V 0.137 0.641 0.356
10 V 0.359 0.863 0.144
11 V 0.641 0.137 0.856
12 V 0.863 0.359 0.644
13 P 0.058 0.243 0.033
14 P 0.243 0.058 0.533
15 P 0.459 0.541 0.750
16 P 0.541 0.459 0.250
17 P 0.757 0.942 0.467
18 P 0.942 0.757 0.967
19 O 0.048 0.314 0.888
20 O 0.081 0.240 0.545
21 O 0.081 0.388 0.234
22 O 0.115 0.805 0.009
23 O 0.195 0.885 0.491
24 O 0.240 0.081 0.045
25 O 0.270 0.557 0.590
26 O 0.314 0.048 0.388
27 O 0.381 0.485 0.308
28 O 0.388 0.081 0.734
29 O 0.443 0.730 0.910
30 O 0.485 0.381 0.808
31 O 0.515 0.619 0.192
32 O 0.557 0.270 0.090
33 O 0.612 0.919 0.266
34 O 0.619 0.515 0.692
35 O 0.686 0.952 0.612
36 O 0.730 0.443 0.410
37 O 0.760 0.919 0.955
38 O 0.805 0.115 0.509
39 O 0.885 0.195 0.991
40 O 0.919 0.612 0.766
41 O 0.919 0.760 0.455
42 O 0.952 0.686 0.112

=====

# 11
DFT (meta-GGA SCAN) results for a crystal of TaMn2Os relaxed with PBEsol.

For the energy above the most stable polymorph in this dataset, the calculation gives 50 meV per atom. As for the formation energy: -0.244 eV per atom. Its symmetry is I-4m2, No. 119.

Cell lengths 4.656, 4.656, 4.656 Å; angles 131.84, 131.84, 70.49 degrees
Fractional positions:
1 Ta 0.000 0.000 0.000
2 Mn 0.500 0.500 0.000
3 Mn 0.750 0.250 0.500
4 Os 0.250 0.750 0.500

=====

# 12
DFT (meta-GGA SCAN) results for a crystal of Mg3TiBr relaxed with PBEsol.

Its symmetry is Pm-3m, No. 221. For the uncorrected formation energy, the calculation gives 0.50 eV per atom.

Cell lengths 5.081, 5.081, 5.081 Å; angles 90.00, 90.00, 90.00 degrees
Fractional positions:
1 Mg 0.000 0.000 0.500
2 Mg 0.000 0.500 0.000
3 Mg 0.500 0.000 0.000
4 Ti 0.500 0.500 0.500
5 Br 0.000 0.000 0.000

=====

# 13
DFT (meta-GGA SCAN) results for a crystal of Co relaxed with PBEsol.

For the energy above the most stable polymorph in this dataset, the calculation gives 77 meV per atom. As for the formation energy: 0.077 eV per atom. Its symmetry is Cmcm, No. 63.

Cell lengths 4.697, 4.697, 7.570 Å; angles 90.00, 90.00, 150.08 degrees
Fractional positions:
1 Co 0.019 0.981 0.750
2 Co 0.247 0.753 0.250
3 Co 0.373 0.627 0.517
4 Co 0.373 0.627 0.983
5 Co 0.627 0.373 0.017
6 Co 0.627 0.373 0.483
7 Co 0.753 0.247 0.750
8 Co 0.981 0.019 0.250

=====

# 14
DFT (meta-GGA SCAN) results for a crystal of ZrTeMoI2 relaxed with PBEsol.

Its symmetry is P4/mmm, No. 123. For the uncorrected formation energy, the calculation gives 0.44 eV per atom.

Cell lengths 5.585, 5.585, 5.578 Å; angles 90.00, 90.00, 90.00 degrees
Fractional positions:
1 Zr 0.000 0.000 0.000
2 Te 0.000 0.000 0.500
3 Mo 0.500 0.500 0.500
4 I 0.000 0.500 0.000
5 I 0.500 0.000 0.000

=====

# 15
DFT (meta-GGA SCAN) results for a crystal of ZnCd2Os relaxed with PBEsol.

As for the formation energy: 0.402 eV per atom. Its symmetry is Imm2, No. 44.

Cell lengths 5.384, 5.384, 5.384 Å; angles 145.59, 130.60, 61.58 degrees
Fractional positions:
1 Zn 0.000 0.000 0.000
2 Cd 0.257 0.757 0.500
3 Cd 0.530 0.530 0.000
4 Os 0.786 0.286 0.500

=====

# 16
DFT (meta-GGA SCAN) results for a crystal of CaAg2P relaxed with PBEsol.

As for the formation energy: -0.345 eV per atom. Its symmetry is Amm2, No. 38.

Cell lengths 3.841, 5.450, 5.450 Å; angles 43.74, 90.00, 90.00 degrees
Fractional positions:
1 Ca 0.000 0.000 0.000
2 Ag 0.000 0.284 0.284
3 Ag 0.500 0.703 0.703
4 P 0.500 0.443 0.443

=====

# 17
DFT (meta-GGA SCAN) results for a crystal of PtAu3 relaxed with PBEsol.

As for the formation energy: 0.054 eV per atom. Its symmetry is Pnma, No. 62.

Cell lengths 4.895, 9.452, 5.678 Å; angles 90.00, 90.00, 90.00 degrees
Fractional positions:
1 Pt 0.085 0.250 0.129
2 Pt 0.415 0.750 0.629
3 Pt 0.585 0.250 0.371
4 Pt 0.915 0.750 0.871
5 Au 0.081 0.250 0.624
6 Au 0.245 0.501 0.875
7 Au 0.245 0.999 0.875
8 Au 0.255 0.001 0.375
9 Au 0.255 0.499 0.375
10 Au 0.419 0.750 0.124
11 Au 0.581 0.250 0.876
12 Au 0.745 0.501 0.625
13 Au 0.745 0.999 0.625
14 Au 0.755 0.001 0.125
15 Au 0.755 0.499 0.125
16 Au 0.919 0.750 0.376

=====

# 18
DFT (meta-GGA SCAN) results for a crystal of MgCd2P relaxed with PBEsol.

As for the formation energy: -0.016 eV per atom. Its symmetry is P4/mmm, No. 123.

Cell lengths 3.985, 3.985, 4.928 Å; angles 90.00, 90.00, 90.00 degrees
Fractional positions:
1 Mg 0.000 0.000 0.000
2 Cd 0.000 0.500 0.500
3 Cd 0.500 0.000 0.500
4 P 0.500 0.500 0.000

=====

# 19
DFT (meta-GGA SCAN) results for a crystal of MgFe2O4 relaxed with PBEsol.

Its symmetry is Fd-3m, No. 227. For the uncorrected formation energy, the calculation gives -1.94 eV per atom.

Cell lengths 5.726, 5.726, 5.726 Å; angles 60.00, 60.00, 60.00 degrees
Fractional positions:
1 Mg 0.125 0.125 0.125
2 Mg 0.875 0.875 0.875
3 Fe 0.000 0.500 0.500
4 Fe 0.500 0.000 0.500
5 Fe 0.500 0.500 0.000
6 Fe 0.500 0.500 0.500
7 O 0.263 0.263 0.263
8 O 0.263 0.263 0.710
9 O 0.263 0.710 0.263
10 O 0.290 0.737 0.737
11 O 0.710 0.263 0.263
12 O 0.737 0.290 0.737
13 O 0.737 0.737 0.290
14 O 0.737 0.737 0.737

=====

# 20
DFT (meta-GGA SCAN) results for a crystal of ZnFe2Mo relaxed with PBEsol.

As for the formation energy: 0.160 eV per atom. Its symmetry is Imm2, No. 44.

Cell lengths 4.919, 4.919, 4.919 Å; angles 146.90, 129.69, 61.55 degrees
Fractional positions:
1 Zn 0.000 0.000 0.000
2 Fe 0.253 0.753 0.500
3 Fe 0.478 0.478 0.000
4 Mo 0.724 0.224 0.500

=====

In the order shown, the computed total DFT energy (no corrections) values come out to -40.70; -14.08; -27.05; -22.03; -12.01; -23.37; -15.73; -40.33; -15.21; -9.72; -43.99; -9.59; -17.23; -34.82; -36.15; -21.04; -69.36; -19.07; -11.39; -21.00 eV/atom.